Material: DyCdInGa
Method: DFT, PBE
State: optimized geometry

## Properties
Energy above the lowest structure with this stoichiometry ... 199 meV per atom
SG ... F-43m

Unit cell a=5.0838 b=5.0838 c=5.0838 alpha=60.00 beta=60.00 gamma=60.00
Element x y z (fractional)
Dy: 0.5000 0.5000 0.5000
In: 0.0000 0.0000 0.0000
Cd: 0.7500 0.7500 0.7500
Ga: 0.2500 0.2500 0.2500

---

Material: DyCdInGa
Method: DFT, PBE
State: optimized geometry

## Properties
Energy above the lowest structure with this stoichiometry ... 0 meV per atom
SG ... Pmmm

Unit cell a=4.4215 b=4.4198 c=4.6215 alpha=90.00 beta=90.00 gamma=90.00
Element x y z (fractional)
Cd: 0.0000 0.0000 0.0000
Dy: 0.0000 0.5000 0.5000
In: 0.5000 0.5000 0.0000
Ga: 0.5000 0.0000 0.5000

---

Material: DyMgCdGa
Method: DFT, PBE
State: optimized geometry

## Properties
SG ... F-43m

Unit cell a=5.0066 b=5.0066 c=5.0066 alpha=60.00 beta=60.00 gamma=60.00
Element x y z (fractional)
Ga: 0.5000 0.5000 0.5000
Cd: 0.0000 0.0000 0.0000
Mg: 0.2500 0.2500 0.2500
Dy: 0.7500 0.7500 0.7500

---

Material: Dy2CdGa2Pd5
Method: DFT, PBE
State: optimized geometry

## Properties
SG ... P4/mbm

Unit cell a=3.7912 b=9.8657 c=9.8657 alpha=90.00 beta=90.00 gamma=90.00
Element x y z (fractional)
Pd: 0.5000 0.4341 0.2893
Ga: 0.0000 0.3783 0.1217
Ga: 0.0000 0.1217 0.6217
Ga: 0.0000 0.8783 0.3783
Dy: 0.0000 0.3235 0.8235
Pd: 0.5000 0.0000 0.5000
Pd: 0.5000 0.5000 0.0000
Cd: 0.0000 0.0000 0.0000
Dy: 0.0000 0.8235 0.6765
Pd: 0.5000 0.2893 0.5659
Pd: 0.5000 0.7107 0.4341
Pd: 0.5000 0.2107 0.0659
Cd: 0.0000 0.5000 0.5000
Pd: 0.5000 0.5659 0.7107
Pd: 0.5000 0.0659 0.7893
Pd: 0.5000 0.7893 0.9341
Dy: 0.0000 0.1765 0.3235
Pd: 0.5000 0.9341 0.2107
Dy: 0.0000 0.6765 0.1765
Ga: 0.0000 0.6217 0.8783

---

Material: DyCdGa2Pd2
Method: DFT, PBE
State: optimized geometry

## Properties
SG ... P-3m1

Unit cell a=4.4517 b=4.4517 c=6.5621 alpha=90.00 beta=90.00 gamma=120.00
Element x y z (fractional)
Ga: 0.3333 0.6667 0.7667
Cd: 0.0000 0.0000 0.0000
Ga: 0.6667 0.3333 0.2333
Pd: 0.3333 0.6667 0.2095
Pd: 0.6667 0.3333 0.7905
Dy: 0.0000 0.0000 0.5000

---

Material: Dy2CdGa4Pt3
Method: DFT, PBE
State: optimized geometry

## Properties
SG ... P-4m2

Unit cell a=4.2066 b=4.2066 c=10.9466 alpha=90.00 beta=90.00 gamma=90.00
Element x y z (fractional)
Cd: 0.5000 0.5000 0.5000
Pt: 0.5000 0.0000 0.8676
Ga: 0.5000 0.5000 0.0000
Ga: 0.5000 0.0000 0.6448
Pt: 0.0000 0.5000 0.1324
Pt: 0.0000 0.0000 0.5000
Ga: 0.0000 0.0000 0.0000
Ga: 0.0000 0.5000 0.3552
Dy: 0.0000 0.5000 0.7662
Dy: 0.5000 0.0000 0.2338

---

Material: Dy2CdGa3Pt4
Method: DFT, PBE
State: optimized geometry

## Properties
SG ... P-4m2

Unit cell a=4.0540 b=4.0540 c=11.7201 alpha=90.00 beta=90.00 gamma=90.00
Element x y z (fractional)
Ga: 0.0000 0.5000 0.1291
Pt: 0.5000 0.5000 0.0000
Dy: 0.0000 0.5000 0.7541
Dy: 0.5000 0.0000 0.2459
Cd: 0.5000 0.5000 0.5000
Pt: 0.0000 0.5000 0.3386
Pt: 0.0000 0.0000 0.0000
Ga: 0.0000 0.0000 0.5000
Pt: 0.5000 0.0000 0.6614
Ga: 0.5000 0.0000 0.8709

---

Material: DyCdGaPt
Method: DFT, PBE
State: optimized geometry

## Properties
SG ... F-43m

Unit cell a=4.8295 b=4.8295 c=4.8295 alpha=60.00 beta=60.00 gamma=60.00
Element x y z (fractional)
Dy: 0.0000 0.0000 0.0000
Ga: 0.2500 0.2500 0.2500
Cd: 0.5000 0.5000 0.5000
Pt: 0.7500 0.7500 0.7500

---

The evaluated formation energy from the elements for the records listed, in turn: -0.1979 -0.3969 -0.3581 -0.7085 -0.6308 -0.8023 -0.8698 -0.6331 eV/atom.
The evaluated total moment for the records listed, in turn: 0.000 0.000 0.000 0.000 0.000 0.000 0.000 0.000 Bohr magnetons per cell.